Entry 1:
Computed, not measured: a relaxed structure of As2RhF at the GGA-PBE level of DFT.

Results
The calculated volume comes out at 56.53 Å³ per cell. The calculation puts the raw total energy at -20.61 eV per cell. The formation energy without anion corrections comes out at -522.2 meV/atom. The magnetic moment is 0.00 μB per atom.

Structure (POSCAR):
```
As2RhF
1.0
0.000 3.046 3.046
3.046 0.000 3.046
3.046 3.046 0.000
Rh F As
1 1 2
Cartesian
3.046 3.046 3.046 Rh
0.000 0.000 0.000 F
1.523 1.523 1.523 As
4.569 4.569 4.569 As
```

Entry 2:
Computed, not measured: a relaxed structure of As2RhSeF at the GGA-PBE level of DFT.

Results
The calculated volume comes out at 89.97 Å³ per cell. The calculation puts the raw total energy at -19.75 eV per cell. The formation energy without anion corrections comes out at 451.0 meV/atom. The magnetic moment is 0.00 μB per atom.

Structure (POSCAR):
```
As2RhSeF
1.0
-1.994 2.130 3.138
-2.795 -3.222 0.411
2.931 -2.122 3.303
As F Rh Se
2 1 1 1
Cartesian
-0.997 1.065 1.569 As
-1.398 -1.611 0.205 As
0.000 0.000 0.000 F
-0.929 -1.607 3.426 Rh
1.465 -1.061 1.651 Se
```

Q: Which of these has the lowest formation energy without anion corrections?
A: As2RhF